An optimized crystal structure of ScTl2I. Source: Alexandria via LeMat-Bulk, functional GGA-PBE.

Results
DOS(E_F) ... 5.30 states/eV/f.u.
Total moment ... 0.00 Bohr magnetons per cell
Offset from the most stable computed form ... 0.79 eV per formula unit
E_form (uncorrected) ... 208 meV/atom
Total energy ... -2.95 eV/atom
SG ... Fm-3m

Cell lengths 5.613, 5.613, 5.613 Å; angles 60.00, 60.00, 60.00 degrees
Fractional positions:
Sc1 0.000 0.000 0.000
Tl1 0.250 0.250 0.250
Tl2 0.750 0.750 0.750
I1 0.500 0.500 0.500

---

An optimized crystal structure of ErLu2Au. Source: Alexandria via LeMat-Bulk, functional GGA-PBE.

Results
DOS(E_F) ... 4.37 states/eV/f.u.
ΔH_f (0 K) ... 0.133 eV/atom
Total moment ... 0.00 Bohr magnetons per cell
Offset from the most stable computed form ... 2.19 eV per formula unit
Total energy ... -4.09 eV/atom
SG ... R-3m

Cell lengths 11.211, 11.211, 11.211 Å; angles 17.66, 17.66, 17.66 degrees
Fractional positions:
Er1 0.000 0.000 0.000
Lu1 0.417 0.417 0.417
Lu2 0.583 0.583 0.583
Au1 0.500 0.500 0.500

---

An optimized crystal structure of SnPO3. Source: Alexandria via LeMat-Bulk, functional GGA-PBE.

Results
Total moment ... 2.00 Bohr magnetons per cell
E_form (uncorrected) ... -1509 meV/atom
Total energy ... -6.37 eV/atom
SG ... Cc

Cell lengths 7.250, 7.250, 4.875 Å; angles 104.17, 104.17, 120.25 degrees
Fractional positions:
Sn1 0.138 0.862 0.500
Sn2 0.862 0.138 0.000
P1 0.489 0.761 0.206
P2 0.761 0.489 0.706
O1 0.269 0.691 0.268
O2 0.523 0.908 0.011
O3 0.691 0.269 0.768
O4 0.722 0.885 0.507
O5 0.885 0.722 0.007
O6 0.908 0.523 0.511

---

An optimized crystal structure of DyGa8Ni4. Source: Alexandria via LeMat-Bulk, functional GGA-PBE.

Results
DOS(E_F) ... 4.69 states/eV/f.u.
ΔH_f (0 K) ... -0.433 eV/atom
Total moment ... 0.00 Bohr magnetons per cell
Total energy ... -4.43 eV/atom
SG ... I4/mmm

Cell lengths 6.600, 6.600, 6.600 Å; angles 98.86, 98.86, 133.80 degrees
Fractional positions:
Dy1 0.000 0.000 0.000
Ga1 0.000 0.343 0.343
Ga2 0.000 0.657 0.657
Ga3 0.279 0.500 0.779
Ga4 0.343 0.000 0.343
Ga5 0.500 0.279 0.779
Ga6 0.500 0.721 0.221
Ga7 0.657 0.000 0.657
Ga8 0.721 0.500 0.221
Ni1 0.000 0.000 0.500
Ni2 0.000 0.500 0.000
Ni3 0.500 0.000 0.000
Ni4 0.500 0.500 0.500

---

An optimized crystal structure of TbU2Se6. Source: Alexandria via LeMat-Bulk, functional GGA-PBE.

Results
DOS(E_F) ... 12.71 states/eV/f.u.
Total moment ... 3.00 Bohr magnetons per cell
Offset from the most stable computed form ... 2.93 eV per formula unit
E_form (uncorrected) ... -965 meV/atom
Total energy ... -6.31 eV/atom
SG ... I-42m

Cell lengths 10.926, 10.926, 10.926 Å; angles 152.08, 152.08, 39.89 degrees
Fractional positions:
Tb1 0.000 0.000 0.000
U1 0.313 0.313 0.000
U2 0.687 0.687 0.000
Se1 0.175 0.643 0.000
Se2 0.250 0.750 0.500
Se3 0.357 0.357 0.532
Se4 0.643 0.175 0.000
Se5 0.750 0.250 0.500
Se6 0.825 0.825 0.468

---

An optimized crystal structure of LaCdSe2N. Source: Alexandria via LeMat-Bulk, functional GGA-PBE.

Results
DOS(E_F) ... 4.87 states/eV/f.u.
Total moment ... 1.36 Bohr magnetons per cell
Offset from the most stable computed form ... 1.19 eV per formula unit
E_form (uncorrected) ... 115 meV/atom
Total energy ... -4.11 eV/atom
SG ... P4/mmm

Cell lengths 5.916, 5.916, 4.264 Å; angles 90.00, 90.00, 90.00 degrees
Fractional positions:
La1 0.000 0.000 0.000
Cd1 0.500 0.500 0.500
Se1 0.000 0.500 0.000
Se2 0.500 0.000 0.000
N1 0.000 0.000 0.500

---

An optimized crystal structure of ScPtAu2. Source: Alexandria via LeMat-Bulk, functional GGA-PBE.

Results
DOS(E_F) ... 1.47 states/eV/f.u.
ΔH_f (0 K) ... -0.657 eV/atom
Total moment ... 0.00 Bohr magnetons per cell
Total energy ... -5.39 eV/atom
SG ... F-43m

Cell lengths 4.669, 4.669, 4.669 Å; angles 60.00, 60.00, 60.00 degrees
Fractional positions:
Sc1 0.000 0.000 0.000
Pt1 0.250 0.250 0.250
Au1 0.500 0.500 0.500
Au2 0.750 0.750 0.750

---

An optimized crystal structure of SrTe2ICl. Source: Alexandria via LeMat-Bulk, functional GGA-PBE.

Results
DOS(E_F) ... 5.07 states/eV/f.u.
Total moment ... 4.06 Bohr magnetons per cell
Offset from the most stable computed form ... 1.69 eV per formula unit
E_form (uncorrected) ... -77 meV/atom
Total energy ... -2.35 eV/atom
SG ... P4/mmm

Cell lengths 6.624, 6.624, 6.192 Å; angles 90.00, 90.00, 90.00 degrees
Fractional positions:
Sr1 0.000 0.000 0.000
Te1 0.000 0.500 0.000
Te2 0.500 0.000 0.000
I1 0.000 0.000 0.500
Cl1 0.500 0.500 0.500

---

An optimized crystal structure of YAg3Ge3. Source: Alexandria via LeMat-Bulk, functional GGA-PBE.

Results
DOS(E_F) ... 3.73 states/eV/f.u.
ΔH_f (0 K) ... 0.383 eV/atom
Total moment ... 0.00 Bohr magnetons per cell
Total energy ... -3.74 eV/atom
SG ... Pm-3n

Cell lengths 7.068, 7.068, 7.068 Å; angles 90.00, 90.00, 90.00 degrees
Fractional positions:
Y1 0.000 0.000 0.000
Y2 0.500 0.500 0.500
Ag1 0.000 0.250 0.500
Ag2 0.000 0.750 0.500
Ag3 0.250 0.500 0.000
Ag4 0.500 0.000 0.250
Ag5 0.500 0.000 0.750
Ag6 0.750 0.500 0.000
Ge1 0.000 0.500 0.250
Ge2 0.000 0.500 0.750
Ge3 0.250 0.000 0.500
Ge4 0.500 0.250 0.000
Ge5 0.500 0.750 0.000
Ge6 0.750 0.000 0.500

---

An optimized crystal structure of CaY2Mo. Source: Alexandria via LeMat-Bulk, functional GGA-PBE.

Results
DOS(E_F) ... 3.20 states/eV/f.u.
ΔH_f (0 K) ... 0.517 eV/atom
Total moment ... 0.00 Bohr magnetons per cell
Offset from the most stable computed form ... 1.03 eV per formula unit
Total energy ... -5.92 eV/atom
SG ... I-4m2

Cell lengths 5.824, 5.824, 5.824 Å; angles 132.41, 132.41, 69.59 degrees
Fractional positions:
Ca1 0.000 0.000 0.000
Y1 0.500 0.500 0.000
Y2 0.750 0.250 0.500
Mo1 0.250 0.750 0.500

---

An optimized crystal structure of BeTlC3. Source: Alexandria via LeMat-Bulk, functional GGA-PBE.

Results
DOS(E_F) ... 2.45 states/eV/f.u.
ΔH_f (0 K) ... 2.473 eV/atom
Total moment ... 0.00 Bohr magnetons per cell
Offset from the most stable computed form ... 0.00 eV per formula unit
Total energy ... -4.28 eV/atom
SG ... Pm-3m

Cell lengths 3.834, 3.834, 3.834 Å; angles 90.00, 90.00, 90.00 degrees
Fractional positions:
Be1 0.000 0.000 0.000
Tl1 0.500 0.500 0.500
C1 0.000 0.000 0.500
C2 0.000 0.500 0.000
C3 0.500 0.000 0.000

---

An optimized crystal structure of Pm2Ga4Co. Source: Alexandria via LeMat-Bulk, functional GGA-PBE.

Results
DOS(E_F) ... 5.36 states/eV/f.u.
ΔH_f (0 K) ... -0.430 eV/atom
Total moment ... 0.00 Bohr magnetons per cell
Total energy ... -4.53 eV/atom
SG ... I4/mmm

Cell lengths 8.227, 8.227, 8.227 Å; angles 148.42, 148.42, 45.27 degrees
Fractional positions:
Pm1 0.149 0.149 0.000
Pm2 0.851 0.851 0.000
Ga1 0.000 0.500 0.500
Ga2 0.343 0.343 0.000
Ga3 0.500 0.000 0.500
Ga4 0.657 0.657 0.000
Co1 0.500 0.500 0.000